Li2TaMo | PBE-GGA | relaxed

Computed properties:
Space group ... Imm2, No. 44
Volume ... 15.34 A^3/atom
Energy ... -6.109 eV/atom

a = 4.9958 Å, b = 4.9958 Å, c = 4.9958 Å
α = 143.71°, β = 122.26°, γ = 70.14°
Fractional positions:
Ta 0.2539 0.7539 0.5000
Li 0.7652 0.2652 0.5000
Li 0.9774 0.9774 0.0000
Mo 0.5035 0.5035 0.0000